No. 1
Crystalline Nd3ScHg6 at its relaxed geometry, computed with GGA-PBE.

As for the space-group type: P2_1/m (11). The total DFT energy (no corrections) is -52.96 eV/cell.

Unit cell a=5.1737 b=9.2962 c=11.2846 alpha=107.60 beta=90.00 gamma=90.00
Closest atoms and distances in Å follow each position.
Fractional coordinates of all 20 atoms:
Nd (0.2500, 0.5156, 0.3859)  5 Hg 3.14-3.34
Nd (0.7500, 0.4844, 0.6141)  5 Hg 3.14-3.34
Nd (0.2500, 0.3487, 0.7767)  8 Hg 3.16-3.49
Nd (0.7500, 0.6513, 0.2233)  8 Hg 3.16-3.49
Nd (0.2500, 0.7752, 0.9931)  11 Hg 3.22-3.47
Nd (0.7500, 0.2248, 0.0069)  11 Hg 3.22-3.47
Sc (0.2500, 0.9438, 0.5873)  8 Hg 2.97-3.17
Sc (0.7500, 0.0562, 0.4127)  8 Hg 2.97-3.17
Hg (0.2500, 0.4711, 0.0820)  7 Nd 3.23-3.39, 3 Hg 3.32-3.37
Hg (0.7500, 0.5289, 0.9180)  7 Nd 3.23-3.39, 3 Hg 3.32-3.37
Hg (0.2500, 0.1537, 0.1670)  8 Hg 3.17-3.49, 4 Nd 3.33-3.52
Hg (0.7500, 0.8463, 0.8330)  8 Hg 3.17-3.49, 4 Nd 3.33-3.52
Hg (0.2500, 0.6807, 0.6934)  1 Sc 3.03, 4 Nd 3.14-3.34, 3 Hg 3.17-3.39
Hg (0.7500, 0.3193, 0.3066)  1 Sc 3.03, 4 Nd 3.14-3.34, 3 Hg 3.17-3.39
Hg (0.2500, 0.2250, 0.4835)  3 Sc 3.01-3.17, 2 Nd 3.16-3.21, 1 Hg 3.29
Hg (0.7500, 0.7750, 0.5165)  3 Sc 3.01-3.17, 2 Nd 3.16-3.21, 1 Hg 3.29
Hg (0.2500, 0.8696, 0.3099)  3 Sc 3.00-3.14, 2 Nd 3.25, 1 Hg 3.29
Hg (0.7500, 0.1304, 0.6901)  3 Sc 3.00-3.14, 2 Nd 3.25, 1 Hg 3.29
Hg (0.2500, 0.0508, 0.8630)  1 Sc 2.97, 3 Hg 3.17-3.27, 4 Nd 3.20-3.32
Hg (0.7500, 0.9492, 0.1370)  1 Sc 2.97, 3 Hg 3.17-3.27, 4 Nd 3.20-3.32

***

No. 2
Crystalline Nd12ScHg6 at its relaxed geometry, computed with GGA-PBE.

As for the space-group type: R-3 (148). The total DFT energy (no corrections) is -68.96 eV/cell.

Unit cell a=9.1798 b=9.1798 c=9.1798 alpha=110.52 beta=110.52 gamma=110.52
Closest atoms and distances in Å follow each position.
Fractional coordinates of all 19 atoms:
Nd (0.7869, 0.7086, 0.5305)  2 Hg 3.21-3.43, 4 Nd 3.32-3.45, 1 Sc 3.45
Nd (0.5305, 0.7869, 0.7086)  2 Hg 3.21-3.43, 4 Nd 3.32-3.45, 1 Sc 3.45
Nd (0.7086, 0.5305, 0.7869)  2 Hg 3.21-3.43, 4 Nd 3.32-3.45, 1 Sc 3.45
Nd (0.2131, 0.2914, 0.4695)  2 Hg 3.21-3.43, 4 Nd 3.32-3.45, 1 Sc 3.45
Nd (0.4695, 0.2131, 0.2914)  2 Hg 3.21-3.43, 4 Nd 3.32-3.45, 1 Sc 3.45
Nd (0.2914, 0.4695, 0.2131)  2 Hg 3.21-3.43, 4 Nd 3.32-3.45, 1 Sc 3.45
Nd (0.9129, 0.7973, 0.2589)  4 Hg 3.25-3.46, 4 Nd 3.32-3.63, 1 Sc 3.63
Nd (0.2027, 0.7411, 0.0871)  4 Hg 3.25-3.46, 4 Nd 3.32-3.63, 1 Sc 3.63
Nd (0.7411, 0.0871, 0.2027)  4 Hg 3.25-3.46, 4 Nd 3.32-3.63, 1 Sc 3.63
Nd (0.0871, 0.2027, 0.7411)  4 Hg 3.25-3.46, 4 Nd 3.32-3.63, 1 Sc 3.63
Nd (0.7973, 0.2589, 0.9129)  4 Hg 3.25-3.46, 4 Nd 3.32-3.63, 1 Sc 3.63
Nd (0.2589, 0.9129, 0.7973)  4 Hg 3.25-3.46, 4 Nd 3.32-3.63, 1 Sc 3.63
Sc (0.0000, 0.0000, 0.0000)  12 Nd 3.45-3.63
Hg (0.6354, 0.9586, 0.4580)  1 Hg 3.10, 6 Nd 3.21-3.46
Hg (0.5420, 0.3646, 0.0414)  1 Hg 3.10, 6 Nd 3.21-3.46
Hg (0.0414, 0.5420, 0.3646)  1 Hg 3.10, 6 Nd 3.21-3.46
Hg (0.3646, 0.0414, 0.5420)  1 Hg 3.10, 6 Nd 3.21-3.46
Hg (0.4580, 0.6354, 0.9586)  1 Hg 3.10, 6 Nd 3.21-3.46
Hg (0.9586, 0.4580, 0.6354)  1 Hg 3.10, 6 Nd 3.21-3.46

***

No. 3
Crystalline Nd2ScHg3 at its relaxed geometry, computed with GGA-PBE.

As for the space-group type: P4/mmm (123). The total DFT energy (no corrections) is -19.43 eV/cell.

Unit cell a=3.6192 b=3.6192 c=11.8669 alpha=90.00 beta=90.00 gamma=90.00
Closest atoms and distances in Å follow each position.
Fractional coordinates of all 6 atoms:
Nd (0.5000, 0.5000, 0.8205)  8 Hg 3.33-3.36, 4 Nd 3.62
Nd (0.5000, 0.5000, 0.1795)  8 Hg 3.33-3.36, 4 Nd 3.62
Sc (0.5000, 0.5000, 0.5000)  8 Hg 3.04
Hg (0.0000, 0.0000, 0.0000)  8 Nd 3.33, 4 Hg 3.62
Hg (0.0000, 0.0000, 0.6375)  4 Sc 3.04, 1 Hg 3.26, 4 Nd 3.36
Hg (0.0000, 0.0000, 0.3625)  4 Sc 3.04, 1 Hg 3.26, 4 Nd 3.36

***

No. 4
Crystalline NdScHg2 at its relaxed geometry, computed with GGA-PBE.

As for the space-group type: Fm-3m (225). The total DFT energy (no corrections) is -13.39 eV/cell. The value obtained for the excess energy over the best structure of this formula in the dataset is 9 kJ/mol of formula units.

Unit cell a=5.2269 b=5.2269 c=5.2269 alpha=60.00 beta=60.00 gamma=60.00
Closest atoms and distances in Å follow each position.
Fractional coordinates of all 4 atoms:
Sc (0.5000, 0.5000, 0.5000)  8 Hg 3.20
Nd (0.0000, 0.0000, 0.0000)  8 Hg 3.20
Hg (0.2500, 0.2500, 0.2500)  4 Nd 3.20, 4 Sc 3.20
Hg (0.7500, 0.7500, 0.7500)  4 Sc 3.20, 4 Nd 3.20

***

No. 5
Crystalline Nd3ScHg12 at its relaxed geometry, computed with GGA-PBE.

As for the space-group type: P4/mmm (123). The total DFT energy (no corrections) is -29.27 eV/cell.

Unit cell a=4.6802 b=4.6802 c=18.3852 alpha=90.00 beta=90.00 gamma=90.00
Closest atoms and distances in Å follow each position.
Fractional coordinates of all 16 atoms:
Nd (0.0000, 0.0000, 0.2395)  12 Hg 3.28-3.36
Nd (0.0000, 0.0000, 0.5000)  12 Hg 3.31-3.33
Nd (0.0000, 0.0000, 0.7605)  12 Hg 3.28-3.36
Sc (0.0000, 0.0000, 0.0000)  12 Hg 3.14-3.31
Hg (0.5000, 0.5000, 0.0000)  8 Hg 3.14, 4 Sc 3.31
Hg (0.5000, 0.5000, 0.2412)  8 Hg 3.31-3.34, 4 Nd 3.31
Hg (0.5000, 0.5000, 0.5000)  4 Nd 3.31, 8 Hg 3.33
Hg (0.5000, 0.5000, 0.7588)  8 Hg 3.31-3.34, 4 Nd 3.31
Hg (0.5000, 0.0000, 0.1141)  8 Hg 3.14-3.31, 2 Sc 3.14, 2 Nd 3.28
Hg (0.5000, 0.0000, 0.3708)  8 Hg 3.31-3.34, 4 Nd 3.33-3.36
Hg (0.5000, 0.0000, 0.6292)  8 Hg 3.31-3.34, 4 Nd 3.33-3.36
Hg (0.5000, 0.0000, 0.8859)  8 Hg 3.14-3.31, 2 Sc 3.14, 2 Nd 3.28
Hg (0.0000, 0.5000, 0.1141)  8 Hg 3.14-3.31, 2 Sc 3.14, 2 Nd 3.28
Hg (0.0000, 0.5000, 0.3708)  8 Hg 3.31-3.34, 4 Nd 3.33-3.36
Hg (0.0000, 0.5000, 0.6292)  8 Hg 3.31-3.34, 4 Nd 3.33-3.36
Hg (0.0000, 0.5000, 0.8859)  2 Sc 3.14, 8 Hg 3.14-3.31, 2 Nd 3.28

***

No. 6
Crystalline Nd2ScHg at its relaxed geometry, computed with GGA-PBE.

As for the space-group type: Fm-3m (225). The total DFT energy (no corrections) is -16.54 eV/cell. The value obtained for the excess energy over the best structure of this formula in the dataset is 35 kJ/mol of formula units.

Unit cell a=5.4457 b=5.4457 c=5.4457 alpha=60.00 beta=60.00 gamma=60.00
Closest atoms and distances in Å follow each position.
Fractional coordinates of all 4 atoms:
Sc (0.5000, 0.5000, 0.5000)  8 Nd 3.33
Nd (0.2500, 0.2500, 0.2500)  4 Hg 3.33, 4 Sc 3.33
Nd (0.7500, 0.7500, 0.7500)  4 Hg 3.33, 4 Sc 3.33
Hg (0.0000, 0.0000, 0.0000)  8 Nd 3.33

***

No. 7
Crystalline Nd2ScHg at its relaxed geometry, computed with GGA-PBE.

As for the space-group type: R-3m (166). The total DFT energy (no corrections) is -15.67 eV/cell. The value obtained for the excess energy over the best structure of this formula in the dataset is 120 kJ/mol of formula units.

Unit cell a=3.4272 b=3.4272 c=11.9075 alpha=81.73 beta=81.73 gamma=60.00
Closest atoms and distances in Å follow each position.
Fractional coordinates of all 4 atoms:
Sc (0.0000, 0.0000, 0.0000)  2 Nd 3.22, 6 Sc 3.43
Nd (0.0914, 0.0914, 0.7259)  1 Sc 3.22, 3 Hg 3.31, 6 Nd 3.43
Nd (0.9086, 0.9086, 0.2741)  1 Sc 3.22, 3 Hg 3.31, 6 Nd 3.43
Hg (0.5000, 0.5000, 0.5000)  6 Nd 3.31, 6 Hg 3.43

***

No. 8
Crystalline NdSc2Hg4 at its relaxed geometry, computed with GGA-PBE.

As for the space-group type: Cmmm (65). The total DFT energy (no corrections) is -20.90 eV/cell.

Unit cell a=4.9673 b=6.2967 c=6.2967 alpha=113.01 beta=90.00 gamma=90.00
Closest atoms and distances in Å follow each position.
Fractional coordinates of all 7 atoms:
Nd (0.5000, 0.5000, 0.5000)  8 Hg 3.15-3.17
Sc (0.0000, 0.7544, 0.2456)  8 Hg 2.98-3.32
Sc (0.0000, 0.2456, 0.7544)  8 Hg 2.98-3.32
Hg (0.0000, 0.7840, 0.7840)  4 Sc 2.98-3.32, 1 Hg 3.00, 2 Nd 3.17
Hg (0.0000, 0.2160, 0.2160)  4 Sc 2.98-3.32, 1 Hg 3.00, 2 Nd 3.17
Hg (0.5000, 0.0000, 0.5000)  4 Sc 3.03, 2 Nd 3.15
Hg (0.5000, 0.5000, 0.0000)  4 Sc 3.03, 2 Nd 3.15

***

No. 9
Crystalline Nd2ScHg at its relaxed geometry, computed with GGA-PBE.

As for the space-group type: P4/mmm (123). The total DFT energy (no corrections) is -16.83 eV/cell. The value obtained for the excess energy over the best structure of this formula in the dataset is 7 kJ/mol of formula units.

Unit cell a=3.6776 b=5.5743 c=5.5743 alpha=90.00 beta=90.00 gamma=90.00
Closest atoms and distances in Å follow each position.
Fractional coordinates of all 4 atoms:
Sc (0.5000, 0.0000, 0.0000)  8 Nd 3.34, 2 Sc 3.68
Nd (0.0000, 0.0000, 0.5000)  4 Hg 3.34, 4 Sc 3.34, 2 Nd 3.68
Nd (0.0000, 0.5000, 0.0000)  4 Hg 3.34, 4 Sc 3.34, 2 Nd 3.68
Hg (0.5000, 0.5000, 0.5000)  8 Nd 3.34, 2 Hg 3.68

***

No. 10
Crystalline NdSmScHg at its relaxed geometry, computed with GGA-PBE.

As for the space-group type: F-43m (216). The total DFT energy (no corrections) is -16.48 eV/cell.

Unit cell a=5.4197 b=5.4197 c=5.4197 alpha=60.00 beta=60.00 gamma=60.00
Closest atoms and distances in Å follow each position.
Fractional coordinates of all 4 atoms:
Sc (0.0000, 0.0000, 0.0000)  4 Sm 3.32, 4 Nd 3.32
Nd (0.7500, 0.7500, 0.7500)  4 Sc 3.32, 4 Hg 3.32
Hg (0.5000, 0.5000, 0.5000)  4 Nd 3.32, 4 Sm 3.32
Sm (0.2500, 0.2500, 0.2500)  4 Hg 3.32, 4 Sc 3.32

***

| no. | V (Å³ per cell) | energy of formation from the pure elements (meV per atom) |
| --- | --- | --- |
| 1 | 517.3 | -404 |
| 2 | 571.2 | -189 |
| 3 | 155.4 | -443 |
| 4 | 101.0 | -422 |
| 5 | 402.7 | -313 |
| 6 | 114.2 | -92 |
| 7 | 119.4 | 126 |
| 8 | 181.3 | -324 |
| 9 | 114.3 | -165 |
| 10 | 112.6 | -90 |